# Mn3CuAg

Mn3CuAg after structural relaxation (GGA-PBE, the Alexandria database).

- DFT total energy (eV per cell) = -29.9
- total moment (Bohr magnetons per cell) = 12.42

a b c (Å): 4.5786 4.5786 4.5786
angles (deg): 90.00 90.00 90.00
Closest atoms and distances in Å follow each position.
Atoms (fractional coordinates):
Mn: 0.0000 0.0000 0.5000  2 Cu 2.29
Mn: 0.0000 0.5000 0.0000  2 Cu 2.29
Mn: 0.5000 0.0000 0.0000  2 Cu 2.29
Cu: 0.0000 0.0000 0.0000  6 Mn 2.29
Ag: 0.5000 0.5000 0.5000  12 Mn 3.24